# PBE-GGA MnCu2Te, relaxed
# Crystal system: orthorhombic
# DFT total energy, eV/atom: -4.887
# Total magnetic moment, μB per cell: 7.4
# Energy relative to the elements, uncorrected, kcal/mol of atoms: 5.51
data_MnCu2Te
_chemical_formula_sum 'Mn2 Cu4 Te2'
_cell_length_a 3.889
_cell_length_b 3.897
_cell_length_c 8.380
_cell_angle_alpha 90.00
_cell_angle_beta 90.00
_cell_angle_gamma 90.00
_symmetry_space_group_name_H-M 'I m m 2'
_symmetry_Int_Tables_number 44
_symmetry_space_group_name_Hall 'I 2 -2'
loop_
_atom_site_label
_atom_site_fract_x
_atom_site_fract_y
_atom_site_fract_z
Mn1 0.000 0.000 0.000
Cu1 0.000 0.000 0.501
Cu2 0.000 0.500 0.250
Te1 0.000 0.500 0.750